# 1
This record from the Alexandria database describes an optimized crystal structure of PaRe3. The functional is PBE-GGA.

Structure (POSCAR):
```
PaRe3
1.0
3.752 0.000 0.000
0.000 3.752 0.000
-1.876 -1.876 5.645
Re Pa
3 1
direct
0.500 0.500 0.000 Re
0.722 0.722 0.445 Re
0.278 0.278 0.555 Re
0.000 0.000 0.000 Pa
```

Its formation enthalpy at 0 K is 0.70 eV per atom. Its space group is No. 139. Its density of states at the Fermi level is 4.3 states/eV/cell. The total DFT energy (no corrections) comes out at -11.009 eV per atom. The calculation puts the density at 16.50 g cm⁻³. As for the calculated volume: 79.5 Å³ per cell.


# 2
This record from the Alexandria database describes an optimized crystal structure of Pa2Re. The functional is PBE-GGA.

Structure (POSCAR):
```
Pa2Re
1.0
3.594 0.000 0.000
0.000 3.594 0.000
-1.797 -1.797 4.913
Re Pa
1 2
direct
0.000 0.000 0.000 Re
0.664 0.664 0.327 Pa
0.336 0.336 0.673 Pa
```

Its formation enthalpy at 0 K is -0.05 eV per atom. Its space group is No. 139. Its density of states at the Fermi level is 4.8 states/eV/cell. The total DFT energy (no corrections) comes out at -10.534 eV per atom. The calculation puts the density at 16.97 g cm⁻³. As for the calculated volume: 63.4 Å³ per cell.


# 3
This record from the Alexandria database describes an optimized crystal structure of PaRe5. The functional is PBE-GGA.

Structure (POSCAR):
```
PaRe5
1.0
4.079 0.000 0.000
0.000 4.116 0.000
0.000 -2.058 6.057
Re Pa
5 1
direct
0.500 0.181 0.361 Re
0.000 0.314 0.628 Re
0.000 0.686 0.372 Re
0.500 0.500 0.000 Re
0.500 0.819 0.639 Re
0.000 0.000 0.000 Pa
```

Its formation enthalpy at 0 K is 0.08 eV per atom. Its space group is No. 65. Its density of states at the Fermi level is 7.7 states/eV/cell. The total DFT energy (no corrections) comes out at -11.872 eV per atom. The calculation puts the density at 18.97 g cm⁻³. As for the calculated volume: 101.7 Å³ per cell.


# 4
This record from the Alexandria database describes an optimized crystal structure of Pa2Re. The functional is PBE-GGA.

Structure (POSCAR):
```
Pa2Re
1.0
-0.654 2.789 1.750
-4.782 -3.143 0.003
4.741 -2.245 5.350
Re Pa
2 4
direct
0.492 0.983 0.280 Re
0.508 0.017 0.720 Re
0.141 0.283 0.065 Pa
0.175 0.350 0.589 Pa
0.825 0.650 0.411 Pa
0.859 0.717 0.935 Pa
```

Its formation enthalpy at 0 K is -0.11 eV per atom. Its space group is No. 12. Its density of states at the Fermi level is 7.3 states/eV/cell. The total DFT energy (no corrections) comes out at -10.592 eV per atom. The calculation puts the density at 16.92 g cm⁻³. As for the calculated volume: 127.2 Å³ per cell.


# 5
This record from the Alexandria database describes an optimized crystal structure of PaReRh2. The functional is PBE-GGA.

Structure (POSCAR):
```
PaReRh2
1.0
-1.028 -3.924 -0.229
1.283 -0.109 -3.881
3.743 -1.054 1.266
Rh Pa Re
2 1 1
direct
0.000 0.000 0.500 Rh
0.000 0.500 0.000 Rh
0.500 0.000 0.000 Pa
0.500 0.500 0.500 Re
```

Its formation enthalpy at 0 K is -0.47 eV per atom. Its space group is No. 123. Its density of states at the Fermi level is 3.7 states/eV/cell. The total DFT energy (no corrections) comes out at -9.628 eV per atom. The calculation puts the density at 15.23 g cm⁻³. As for the calculated volume: 67.9 Å³ per cell.


# 6
This record from the Alexandria database describes an optimized crystal structure of PaReSi2Rh. The functional is PBE-GGA.

Structure (POSCAR):
```
PaReSi2Rh
1.0
-0.197 -0.378 -4.167
3.408 -2.434 0.060
-4.407 -2.504 2.540
Rh Re Si Pa
1 1 2 1
direct
0.250 0.750 0.500 Rh
0.750 0.250 0.500 Re
0.375 0.375 0.750 Si
0.625 0.625 0.250 Si
0.000 0.000 0.000 Pa
```

Its space group is No. 119. Its density of states at the Fermi level is 3.2 states/eV/cell. The total DFT energy (no corrections) comes out at -8.759 eV per atom. The raw formation energy is -730 meV/atom. The calculation puts the density at 11.29 g cm⁻³. As for the calculated volume: 84.8 Å³ per cell.


# 7
This record from the Alexandria database describes an optimized crystal structure of Pa2ReSi4Rh3. The functional is PBE-GGA.

Structure (POSCAR):
```
Pa2ReSi4Rh3
1.0
-0.270 -4.030 1.118
1.676 0.922 3.729
-8.768 1.573 3.552
Rh Si Pa Re
3 4 2 1
direct
0.500 0.000 0.877 Rh
0.000 0.500 0.123 Rh
0.000 0.000 0.500 Rh
0.500 0.500 0.000 Si
0.000 0.500 0.369 Si
0.500 0.000 0.631 Si
0.000 0.000 0.000 Si
0.000 0.500 0.744 Pa
0.500 0.000 0.256 Pa
0.500 0.500 0.500 Re
```

Its space group is No. 115. Its density of states at the Fermi level is 11.1 states/eV/cell. The total DFT energy (no corrections) comes out at -8.359 eV per atom. The raw formation energy is -841 meV/atom. The calculation puts the density at 10.54 g cm⁻³. As for the calculated volume: 168.5 Å³ per cell.


# 8
This record from the Alexandria database describes an optimized crystal structure of ZrPaReRh. The functional is PBE-GGA.

Structure (POSCAR):
```
ZrPaReRh
1.0
-0.725 -4.635 0.914
0.591 -1.682 4.434
-3.796 -1.365 2.563
Pa Re Rh Zr
1 1 1 1
direct
0.500 0.500 0.500 Pa
0.750 0.750 0.750 Re
0.250 0.250 0.250 Rh
0.000 0.000 0.000 Zr
```

Its formation enthalpy at 0 K is -0.37 eV per atom. Its space group is No. 216. Its density of states at the Fermi level is 4.2 states/eV/cell. The total DFT energy (no corrections) comes out at -9.834 eV per atom. The calculation puts the density at 13.15 g cm⁻³. As for the calculated volume: 77.2 Å³ per cell.


# 9
This record from the Alexandria database describes an optimized crystal structure of Pa2ReRu. The functional is PBE-GGA.

Structure (POSCAR):
```
Pa2ReRu
1.0
3.476 0.000 0.000
0.000 3.476 0.000
0.000 0.000 6.721
Re Ru Pa
1 1 2
direct
0.500 0.500 0.000 Re
0.500 0.500 0.500 Ru
0.000 0.000 0.256 Pa
0.000 0.000 0.744 Pa
```

Its formation enthalpy at 0 K is -0.17 eV per atom. Its space group is No. 123. Its density of states at the Fermi level is 4.4 states/eV/cell. The total DFT energy (no corrections) comes out at -10.353 eV per atom. The calculation puts the density at 15.32 g cm⁻³. As for the calculated volume: 81.2 Å³ per cell.


# 10
This record from the Alexandria database describes an optimized crystal structure of Pa2ReRu. The functional is PBE-GGA.

Structure (POSCAR):
```
Pa2ReRu
1.0
4.870 0.000 0.000
2.435 4.217 0.000
2.435 1.406 3.976
Pa Re Ru
2 1 1
direct
0.750 0.750 0.750 Pa
0.250 0.250 0.250 Pa
0.000 0.000 0.000 Re
0.500 0.500 0.500 Ru
```

Its formation enthalpy at 0 K is -0.15 eV per atom. Its space group is No. 225. Its density of states at the Fermi level is 5.2 states/eV/cell. The total DFT energy (no corrections) comes out at -10.325 eV per atom. The calculation puts the density at 15.24 g cm⁻³. As for the calculated volume: 81.7 Å³ per cell.


# 11
This record from the Alexandria database describes an optimized crystal structure of Pa2ReRu. The functional is PBE-GGA.

Structure (POSCAR):
```
Pa2ReRu
1.0
-2.782 2.503 -1.234
-0.841 0.273 -3.840
-5.662 -3.706 -1.045
Pa Re Ru
2 1 1
direct
0.250 0.250 0.249 Pa
0.750 0.750 0.751 Pa
0.000 0.000 0.000 Re
0.500 0.500 0.500 Ru
```

Its formation enthalpy at 0 K is -0.09 eV per atom. Its space group is No. 166. Its density of states at the Fermi level is 4.0 states/eV/cell. The total DFT energy (no corrections) comes out at -10.270 eV per atom. The calculation puts the density at 14.33 g cm⁻³. As for the calculated volume: 86.9 Å³ per cell.


# 12
This record from the Alexandria database describes an optimized crystal structure of PaReSi2Ru. The functional is PBE-GGA.

Structure (POSCAR):
```
PaReSi2Ru
1.0
4.204 0.000 0.000
0.000 4.204 0.000
-2.102 -2.102 4.792
Si Pa Re Ru
2 1 1 1
direct
0.626 0.626 0.252 Si
0.374 0.374 0.748 Si
0.000 0.000 0.000 Pa
0.250 0.750 0.500 Re
0.750 0.250 0.500 Ru
```

Its space group is No. 119. Its density of states at the Fermi level is 5.6 states/eV/cell. The total DFT energy (no corrections) comes out at -9.043 eV per atom. The raw formation energy is -630 meV/atom. The calculation puts the density at 11.26 g cm⁻³. As for the calculated volume: 84.7 Å³ per cell.


# 13
This record from the Alexandria database describes an optimized crystal structure of TbPaReRu. The functional is PBE-GGA.

Structure (POSCAR):
```
TbPaReRu
1.0
-4.102 2.343 -1.178
-3.110 1.366 3.487
-0.510 4.716 1.096
Pa Tb Ru Re
1 1 1 1
direct
0.000 0.000 0.000 Pa
0.500 0.500 0.500 Tb
0.750 0.750 0.750 Ru
0.250 0.250 0.250 Re
```

Its formation enthalpy at 0 K is -0.13 eV per atom. Its space group is No. 216. Its density of states at the Fermi level is 4.2 states/eV/cell. The total DFT energy (no corrections) comes out at -9.090 eV per atom. The calculation puts the density at 13.78 g cm⁻³. As for the calculated volume: 81.6 Å³ per cell.


# 14
This record from the Alexandria database describes an optimized crystal structure of UPaReRu. The functional is PBE-GGA.

Structure (POSCAR):
```
UPaReRu
1.0
-2.364 2.849 -3.095
1.485 0.344 -4.578
-2.633 -1.948 -3.543
Pa U Ru Re
1 1 1 1
direct
0.250 0.250 0.250 Pa
0.750 0.750 0.750 U
0.000 0.000 0.000 Ru
0.500 0.500 0.500 Re
```

Its formation enthalpy at 0 K is -0.03 eV per atom. Its space group is No. 216. Its density of states at the Fermi level is 7.0 states/eV/cell. The total DFT energy (no corrections) comes out at -10.652 eV per atom. The calculation puts the density at 15.81 g cm⁻³. As for the calculated volume: 79.4 Å³ per cell.


# 15
This record from the Alexandria database describes an optimized crystal structure of ZrPaReRu. The functional is PBE-GGA.

Structure (POSCAR):
```
ZrPaReRu
1.0
4.772 0.000 0.000
2.386 4.133 0.000
2.386 1.378 3.896
Zr Re Pa Ru
1 1 1 1
direct
0.500 0.500 0.500 Zr
0.750 0.750 0.750 Re
0.000 0.000 0.000 Pa
0.250 0.250 0.250 Ru
```

Its formation enthalpy at 0 K is -0.29 eV per atom. Its space group is No. 216. Its density of states at the Fermi level is 2.5 states/eV/cell. The total DFT energy (no corrections) comes out at -10.227 eV per atom. The calculation puts the density at 13.17 g cm⁻³. As for the calculated volume: 76.8 Å³ per cell.


# 16
This record from the Alexandria database describes an optimized crystal structure of Pa4ReSe2S. The functional is PBE-GGA.

Structure (POSCAR):
```
Pa4ReSe2S
1.0
-0.596 -1.946 3.341
0.438 -6.064 -3.454
6.585 1.767 2.204
Re Pa Se S
1 4 2 1
direct
0.500 0.500 0.000 Re
0.000 0.261 0.774 Pa
0.500 0.245 0.229 Pa
0.000 0.739 0.226 Pa
0.500 0.755 0.771 Pa
0.500 0.000 0.500 Se
0.000 0.500 0.500 Se
0.000 0.000 0.000 S
```

Its space group is No. 10. Its density of states at the Fermi level is 11.0 states/eV/cell. The total DFT energy (no corrections) comes out at -8.688 eV per atom. The raw formation energy is -997 meV/atom. The calculation puts the density at 11.58 g cm⁻³. As for the calculated volume: 186.5 Å³ per cell.


# 17
This record from the Alexandria database describes an optimized crystal structure of Pa4ReTe2S. The functional is PBE-GGA.

Structure (POSCAR):
```
Pa4ReTe2S
1.0
3.999 0.000 0.000
0.000 7.121 0.166
0.000 -2.455 7.158
Re Pa Te S
1 4 2 1
direct
0.500 0.500 0.000 Re
0.000 0.732 0.204 Pa
0.500 0.765 0.794 Pa
0.500 0.235 0.206 Pa
0.000 0.268 0.796 Pa
0.000 0.500 0.500 Te
0.500 0.000 0.500 Te
0.000 0.000 0.000 S
```

Its space group is No. 10. Its density of states at the Fermi level is 12.0 states/eV/cell. The total DFT energy (no corrections) comes out at -8.364 eV per atom. The raw formation energy is -758 meV/atom. The calculation puts the density at 11.30 g cm⁻³. As for the calculated volume: 205.5 Å³ per cell.


# 18
This record from the Alexandria database describes an optimized crystal structure of PaReSb2. The functional is PBE-GGA.

Structure (POSCAR):
```
PaReSb2
1.0
3.136 0.000 0.000
1.568 2.715 0.000
1.568 0.905 10.674
Sb Pa Re
2 1 1
direct
0.917 0.917 0.249 Sb
0.083 0.083 0.751 Sb
0.500 0.500 0.500 Pa
0.000 0.000 0.000 Re
```

Its space group is No. 166. Its density of states at the Fermi level is 6.1 states/eV/cell. The total DFT energy (no corrections) comes out at -6.973 eV per atom. The raw formation energy is 574 meV/atom. The calculation puts the density at 12.07 g cm⁻³. As for the calculated volume: 90.9 Å³ per cell.


# 19
This record from the Alexandria database describes an optimized crystal structure of PaReSb. The functional is PBE-GGA.

Structure (POSCAR):
```
PaReSb
1.0
2.794 -0.227 -1.433
-0.311 4.108 -1.255
-4.196 -4.556 15.840
Pa Re Sb
2 2 2
direct
0.291 0.685 0.717 Pa
0.709 0.315 0.283 Pa
0.672 0.160 0.455 Re
0.328 0.840 0.545 Re
0.363 0.523 0.885 Sb
0.637 0.477 0.115 Sb
```

Its space group is No. 2. Its density of states at the Fermi level is 7.5 states/eV/cell. The total DFT energy (no corrections) comes out at -8.720 eV per atom. The raw formation energy is -31 meV/atom. The calculation puts the density at 13.09 g cm⁻³. As for the calculated volume: 136.7 Å³ per cell.


# 20
This record from the Alexandria database describes an optimized crystal structure of ScPaRe. The functional is PBE-GGA.

Structure (POSCAR):
```
ScPaRe
1.0
-3.709 2.851 -0.651
-3.213 -1.022 -3.307
-5.839 -2.950 3.211
Sc Re Pa
2 2 2
direct
0.368 0.368 0.895 Sc
0.632 0.632 0.105 Sc
0.938 0.938 0.185 Re
0.062 0.062 0.815 Re
0.202 0.202 0.395 Pa
0.798 0.798 0.605 Pa
```

Its formation enthalpy at 0 K is 0.02 eV per atom. Its space group is No. 166. Its density of states at the Fermi level is 5.2 states/eV/cell. The total DFT energy (no corrections) comes out at -9.405 eV per atom. The calculation puts the density at 11.76 g cm⁻³. As for the calculated volume: 130.6 Å³ per cell.